1.
Sc3Zn5 (SCAN, single point on PBEsol structure); E_tot = -14.172 eV per atom; Fermi-level density of states = 3.3 states/eV per cell
1.0
4.459 0.000 0.000
0.000 5.648 -0.018
0.000 -1.747 5.371
Sc Zn
3 5
direct
0.000 0.500 0.500
0.500 0.768 0.232
0.500 0.232 0.768
0.000 0.000 0.000
0.000 0.500 0.000
0.000 0.000 0.500
0.500 0.745 0.745
0.500 0.255 0.255



2.
LiMnPO4 (SCAN, single point on PBEsol structure); E_tot = -10.391 eV per atom; formation energy from raw total energies = -2.396 eV per atom; Fermi-level density of states = 0.0 states/eV per cell; E above lowest polymorph = 0.092 eV/atom
1.0
10.526 0.000 0.000
-5.263 9.116 0.000
0.000 0.000 12.594
Li Mn P O
12 12 12 48
direct
0.500 0.000 0.659
0.500 0.000 0.008
0.500 0.000 0.333
0.000 0.000 0.500
0.000 0.000 0.167
0.000 0.000 0.833
0.500 0.500 0.325
0.500 0.500 0.000
0.500 0.500 0.675
0.000 0.500 0.341
0.000 0.500 0.667
0.000 0.500 0.992
0.250 0.000 0.833
0.750 0.000 0.833
0.247 0.753 0.500
0.506 0.753 0.167
0.247 0.494 0.833
0.750 0.750 0.500
0.000 0.750 0.167
0.250 0.250 0.500
0.753 0.506 0.833
0.494 0.247 0.167
0.753 0.247 0.500
0.000 0.250 0.167
0.243 0.000 0.333
0.247 0.753 0.000
0.757 0.000 0.333
0.506 0.753 0.667
0.757 0.757 0.000
0.247 0.494 0.333
0.000 0.757 0.667
0.753 0.506 0.333
0.243 0.243 0.000
0.494 0.247 0.667
0.753 0.247 0.000
0.000 0.243 0.667
0.126 0.940 0.244
0.060 0.874 0.756
0.302 0.900 0.940
0.278 0.884 0.378
0.116 0.722 0.622
0.100 0.698 0.060
0.377 0.794 0.076
0.597 0.900 0.726
0.418 0.794 0.590
0.605 0.884 0.289
0.814 0.940 0.422
0.206 0.623 0.924
0.206 0.582 0.410
0.814 0.874 0.911
0.605 0.722 0.044
0.418 0.623 0.743
0.597 0.698 0.607
0.377 0.582 0.257
0.874 0.814 0.089
0.940 0.814 0.578
0.100 0.403 0.274
0.116 0.395 0.711
0.278 0.395 0.956
0.698 0.597 0.393
0.302 0.403 0.393
0.722 0.605 0.956
0.884 0.605 0.711
0.900 0.597 0.274
0.060 0.186 0.578
0.126 0.186 0.089
0.623 0.418 0.257
0.403 0.302 0.607
0.582 0.377 0.743
0.395 0.278 0.044
0.186 0.126 0.911
0.794 0.418 0.410
0.794 0.377 0.924
0.186 0.060 0.422
0.395 0.116 0.289
0.582 0.206 0.590
0.403 0.100 0.726
0.623 0.206 0.076
0.900 0.302 0.060
0.884 0.278 0.622
0.722 0.116 0.378
0.698 0.100 0.940
0.940 0.126 0.756
0.874 0.060 0.244



- Number 2 is which compound?
  LiMnPO4